# LiPaV2O6

LiPaV2O6 after structural relaxation (GGA+U, the Alexandria database).

Computed properties:
energy	-8.1403	eV per atom

a = 5.377 Å, b = 5.398 Å, c = 5.579 Å
α = 61.72°, β = 62.71°, γ = 60.42°
Space group P1 (No. 1)
Inequivalent atoms, fractional coordinates:
Li: 0.000 0.000 0.000 x1
Pa: 0.511 0.492 0.489 x1
V: 0.216 0.206 0.361 x1
V: 0.723 0.706 0.857 x1
O: 0.092 0.426 0.636 x1
O: 0.345 0.920 0.161 x1
O: 0.451 0.836 0.635 x1
O: 0.587 0.342 0.145 x1
O: 0.846 0.064 0.644 x1
O: 0.933 0.566 0.152 x1

---

# Li4Mn3O7

Li4Mn3O7 after structural relaxation (GGA+U, the Alexandria database).

Computed properties:
DOS(E_F)	0.08	states/eV/cell
energy	-6.3296	eV per atom
excess energy over the best structure of this formula in the dataset	89	meV/atom

a = 9.793 Å, b = 2.890 Å, c = 18.089 Å
α = 90.00°, β = 97.01°, γ = 90.00°
Space group C2/m (No. 12)
Inequivalent atoms, fractional coordinates:
Li: 0.000 0.000 0.000 x2
Li: 0.000 0.000 0.500 x2
Li: 0.060 0.500 0.156 x4
Li: 0.126 0.000 0.293 x4
Li: 0.211 0.500 0.439 x4
Mn: 0.084 0.500 0.634 x4
Mn: 0.160 0.000 0.777 x4
Mn: 0.227 0.500 0.923 x4
O: 0.030 0.500 0.742 x4
O: 0.044 0.000 0.390 x4
O: 0.099 0.000 0.884 x4
O: 0.146 0.500 0.543 x4
O: 0.147 0.500 0.040 x4
O: 0.208 0.000 0.190 x4
O: 0.212 0.000 0.673 x4